1.
Material: Zr2BeSi
Method: DFT, meta-GGA SCAN
State: PBEsol geometry

**ΔE to the lowest computed polymorph**: 432.0 meV/atom

a = 3.6816 Å, b = 3.6816 Å, c = 18.4542 Å
α = 90.00°, β = 90.00°, γ = 120.00°
With the nearest neighbours (Å) after each atom.
Space group R-3m (No. 166, hexagonal axes)
Asymmetric unit:
Zr 0.0000 0.0000 0.2499 x6  3 Si 2.62, 3 Be 2.62
Be 0.0000 0.0000 0.0000 x3  6 Zr 2.62
Si 0.0000 0.0000 0.5000 x3  6 Zr 2.62

---

2.
Material: Er2Nb2O7
Method: DFT, meta-GGA SCAN
State: PBEsol geometry

a = 10.1911 Å, b = 10.1911 Å, c = 10.1911 Å
α = 90.00°, β = 90.00°, γ = 90.00°
With the nearest neighbours (Å) after each atom.
Space group Fd-3m (No. 227, origin choice 2)
Asymmetric unit:
Er 0.0000 0.0000 0.0000 x16  8 O 2.21-2.37
Nb 0.0000 0.0000 0.5000 x16  6 O 2.06
O 0.0986 0.3750 0.8750 x48  2 Nb 2.06
O 0.1250 0.1250 0.1250 x8  4 Er 2.21

---

3.
Material: CdSbF3
Method: DFT, meta-GGA SCAN
State: PBEsol geometry

a = 4.3708 Å, b = 4.3708 Å, c = 4.3708 Å
α = 90.00°, β = 90.00°, γ = 90.00°
With the nearest neighbours (Å) after each atom.
Space group Pm-3m (No. 221)
Asymmetric unit:
Cd 0.0000 0.0000 0.0000 x1  6 F 2.19
Sb 0.5000 0.5000 0.5000 x1  12 F 3.09
F 0.0000 0.0000 0.5000 x3  2 Cd 2.19

---

4.
Material: ScPSe3
Method: DFT, meta-GGA SCAN
State: PBEsol geometry

a = 4.7410 Å, b = 4.7410 Å, c = 4.7410 Å
α = 90.00°, β = 90.00°, γ = 90.00°
With the nearest neighbours (Å) after each atom.
Space group Pm-3m (No. 221)
Asymmetric unit:
Sc 0.0000 0.0000 0.0000 x1  12 Se 3.35
P 0.5000 0.5000 0.5000 x1  6 Se 2.37
Se 0.0000 0.5000 0.5000 x3  2 P 2.37

---

5.
Material: Cs2KBiCl6
Method: DFT, meta-GGA SCAN
State: PBEsol geometry

a = 11.2330 Å, b = 11.2330 Å, c = 11.2330 Å
α = 90.00°, β = 90.00°, γ = 90.00°
With the nearest neighbours (Å) after each atom.
Space group Fm-3m (No. 225)
Asymmetric unit:
Cs 0.2500 0.2500 0.2500 x8  12 Cl 3.97
K 0.0000 0.0000 0.0000 x4  6 Cl 2.93
Bi 0.0000 0.0000 0.5000 x4  6 Cl 2.68
Cl 0.0000 0.0000 0.2612 x24  1 Bi 2.68, 1 K 2.93

---

6.
Material: HfFeBr3
Method: DFT, meta-GGA SCAN
State: PBEsol geometry

a = 5.1753 Å, b = 5.1753 Å, c = 5.1753 Å
α = 90.00°, β = 90.00°, γ = 90.00°
With the nearest neighbours (Å) after each atom.
Space group Pm-3m (No. 221)
Asymmetric unit:
Hf 0.0000 0.0000 0.0000 x1  6 Br 2.59
Fe 0.5000 0.5000 0.5000 x1  12 Br 3.66
Br 0.0000 0.0000 0.5000 x3  2 Hf 2.59

---

no.,total DFT energy (no corrections) (eV for the cell shown),uncorrected formation energy (eV/atom)
1,-230.182,-0.240
2,-1970.263,-3.248
3,-85.273,-1.395
4,-85.783,-0.182
5,-912.461,-1.772
6,-139.548,-0.073